# PBE-GGA Ce2LuSn, optimized geometry
data_Ce2LuSn
_symmetry_space_group_name_H-M 'F m -3 m'
_symmetry_Int_Tables_number 225
_symmetry_space_group_name_Hall '-F 4 2 3'
_cell_length_a 7.702
_cell_length_b 7.702
_cell_length_c 7.702
_cell_angle_alpha 90.00
_cell_angle_beta 90.00
_cell_angle_gamma 90.00
loop_
_atom_site_label
_atom_site_type_symbol
_atom_site_fract_x
_atom_site_fract_y
_atom_site_fract_z
Ce1 Ce 0.250 0.250 0.250
Lu1 Lu 0.000 0.000 0.000
Sn1 Sn 0.000 0.000 0.500
# N(E_F)	13.781	states/eV/f.u.
# energy above the most stable polymorph in this dataset	236	meV/atom
# energy relative to the elements	-0.155	eV per atom
# calculated total energy	-5.25	eV/atom

=====

# PBE-GGA CrCd2Re, optimized geometry
data_CrCd2Re
_symmetry_space_group_name_H-M 'I -4 m 2'
_symmetry_Int_Tables_number 119
_symmetry_space_group_name_Hall 'I -4 -2'
_cell_length_a 4.512
_cell_length_b 4.512
_cell_length_c 6.733
_cell_angle_alpha 90.00
_cell_angle_beta 90.00
_cell_angle_gamma 90.00
loop_
_atom_site_label
_atom_site_type_symbol
_atom_site_fract_x
_atom_site_fract_y
_atom_site_fract_z
Cr1 Cr 0.000 0.000 0.000
Cd1 Cd 0.000 0.000 0.500
Cd2 Cd 0.000 0.500 0.250
Re1 Re 0.000 0.500 0.750
# N(E_F)	1.929	states/eV/f.u.
# energy above the most stable polymorph in this dataset	377	meV/atom
# energy relative to the elements	0.670	eV per atom
# calculated total energy	-5.31	eV/atom